No. 1
DFT (meta-GGA SCAN) results for a crystal of TiMn2BeNi relaxed with PBEsol.

Output
Electronic total energy (eV per atom): -13.391
V (Å³/cell): 76
Total magnetic moment (μB per formula unit): 5.33
Fermi-level density of states (states/eV/cell): 4.18
E_form (eV per formula unit): 6.111
Theoretical density (g cm⁻³): 4.902

Lattice parameters (Å, degrees): 4.210 4.210 4.309 90.00 90.00 90.00
Atoms (fractional coordinates):
Ti 0.000 0.000 0.000
Mn 0.000 0.500 0.000
Mn 0.500 0.000 0.000
Be 0.500 0.500 0.500
Ni 0.000 0.000 0.500

---

No. 2
DFT (meta-GGA SCAN) results for a crystal of Si2HgRh relaxed with PBEsol.

Output
Electronic total energy (eV per atom): -29.960
V (Å³/cell): 63
Energy relative to the elements, uncorrected (meV/atom): 532
Total magnetic moment (μB per formula unit): 0.00
Fermi-level density of states (states/eV/cell): 3.19
Theoretical density (g cm⁻³): 9.421

Lattice parameters (Å, degrees): 4.476 4.476 4.476 60.00 60.00 60.00
Atoms (fractional coordinates):
Si 0.000 0.000 0.000
Si 0.250 0.250 0.250
Hg 0.500 0.500 0.500
Rh 0.750 0.750 0.750

---

No. 3
DFT (meta-GGA SCAN) results for a crystal of KBaPS4 relaxed with PBEsol.

Output
Electronic total energy (eV per atom): -15.213
V (Å³/cell): 764
Energy relative to the elements, uncorrected (meV/atom): -1386
Total magnetic moment (μB per formula unit): 0.00
Fermi-level density of states (states/eV/cell): 0.00
Theoretical density (g cm⁻³): 2.919

Lattice parameters (Å, degrees): 11.869 6.618 9.724 90.00 90.00 90.00
Atoms (fractional coordinates):
K 0.119 0.250 0.167
K 0.381 0.750 0.667
K 0.619 0.250 0.333
K 0.881 0.750 0.833
Ba 0.142 0.250 0.617
Ba 0.358 0.750 0.117
Ba 0.642 0.250 0.883
Ba 0.858 0.750 0.383
P 0.177 0.750 0.396
P 0.323 0.250 0.896
P 0.677 0.750 0.104
P 0.823 0.250 0.604
S 0.081 0.750 0.572
S 0.084 0.750 0.219
S 0.222 0.000 0.893
S 0.222 0.500 0.893
S 0.278 0.000 0.393
S 0.278 0.500 0.393
S 0.416 0.250 0.719
S 0.419 0.250 0.072
S 0.581 0.750 0.928
S 0.584 0.750 0.281
S 0.722 0.000 0.607
S 0.722 0.500 0.607
S 0.778 0.000 0.107
S 0.778 0.500 0.107
S 0.916 0.250 0.781
S 0.919 0.250 0.428

---

No. 4
DFT (meta-GGA SCAN) results for a crystal of CrNiSb relaxed with PBEsol.

Output
Electronic total energy (eV per atom): -23.844
V (Å³/cell): 52
Energy relative to the elements, uncorrected (meV/atom): 96
Total magnetic moment (μB per formula unit): 3.07
Fermi-level density of states (states/eV/cell): 1.40
Theoretical density (g cm⁻³): 7.393

Lattice parameters (Å, degrees): 4.195 4.195 4.195 60.00 60.00 60.00
Atoms (fractional coordinates):
Cr 0.000 0.000 0.000
Ni 0.500 0.500 0.500
Sb 0.250 0.250 0.250

---

No. 5
DFT (meta-GGA SCAN) results for a crystal of Ca2MgCr relaxed with PBEsol.

Output
Electronic total energy (eV per atom): -10.516
V (Å³/cell): 112
Total magnetic moment (μB per formula unit): 4.65
Fermi-level density of states (states/eV/cell): 2.15
E_form (eV per formula unit): 0.621
Theoretical density (g cm⁻³): 2.325

Lattice parameters (Å, degrees): 6.283 6.283 5.445 115.57 115.57 35.68
Atoms (fractional coordinates):
Ca 0.000 0.000 0.000
Ca 0.215 0.215 0.714
Mg 0.444 0.444 0.444
Cr 0.746 0.746 0.245

---

No. 6
DFT (meta-GGA SCAN) results for a crystal of BaLiIN2 relaxed with PBEsol.

Output
Electronic total energy (eV per atom): -19.031
V (Å³/cell): 107
Energy relative to the elements, uncorrected (meV/atom): 422
Total magnetic moment (μB per formula unit): 4.00
Fermi-level density of states (states/eV/cell): 1.48
Theoretical density (g cm⁻³): 4.653

Lattice parameters (Å, degrees): 4.661 4.661 4.914 90.00 90.00 90.00
Atoms (fractional coordinates):
Ba 0.000 0.000 0.000
Li 0.500 0.500 0.500
I 0.500 0.500 0.000
N 0.000 0.500 0.500
N 0.500 0.000 0.500

---

No. 7
DFT (meta-GGA SCAN) results for a crystal of Ho2Mg3Ge4 relaxed with PBEsol.

Output
Electronic total energy (eV per atom): -21.603
V (Å³/cell): 725
Total magnetic moment (μB per formula unit): 0.00
Fermi-level density of states (states/eV/cell): 6.54
E_form (eV per formula unit): -5.181
Theoretical density (g cm⁻³): 6.354

Lattice parameters (Å, degrees): 6.905 14.037 7.478 90.00 90.00 90.00
Atoms (fractional coordinates):
Ho 0.003 0.096 0.183
Ho 0.003 0.404 0.183
Ho 0.497 0.596 0.683
Ho 0.497 0.904 0.683
Ho 0.503 0.096 0.317
Ho 0.503 0.404 0.317
Ho 0.997 0.596 0.817
Ho 0.997 0.904 0.817
Mg 0.159 0.750 0.500
Mg 0.172 0.121 0.672
Mg 0.172 0.379 0.672
Mg 0.328 0.621 0.172
Mg 0.328 0.879 0.172
Mg 0.341 0.250 0.000
Mg 0.659 0.750 0.000
Mg 0.672 0.121 0.828
Mg 0.672 0.379 0.828
Mg 0.828 0.621 0.328
Mg 0.828 0.879 0.328
Mg 0.841 0.250 0.500
Ge 0.032 0.750 0.112
Ge 0.171 0.537 0.465
Ge 0.171 0.963 0.465
Ge 0.213 0.250 0.363
Ge 0.287 0.750 0.863
Ge 0.329 0.037 0.965
Ge 0.329 0.463 0.965
Ge 0.468 0.250 0.612
Ge 0.532 0.750 0.388
Ge 0.671 0.537 0.035
Ge 0.671 0.963 0.035
Ge 0.713 0.250 0.137
Ge 0.787 0.750 0.637
Ge 0.829 0.037 0.535
Ge 0.829 0.463 0.535
Ge 0.968 0.250 0.888

---

No. 8
DFT (meta-GGA SCAN) results for a crystal of BaWF7 relaxed with PBEsol.

Output
Electronic total energy (eV per atom): -17.988
V (Å³/cell): 552
Energy relative to the elements, uncorrected (meV/atom): -3097
Total magnetic moment (μB per formula unit): 1.00
Theoretical density (g cm⁻³): 5.464

Lattice parameters (Å, degrees): 5.480 9.853 10.228 90.00 91.52 90.00
Atoms (fractional coordinates):
Ba 0.197 0.171 0.009
Ba 0.197 0.329 0.509
Ba 0.803 0.671 0.491
Ba 0.803 0.829 0.991
W 0.327 0.607 0.185
W 0.327 0.893 0.685
W 0.673 0.107 0.315
W 0.673 0.393 0.815
F 0.040 0.693 0.244
F 0.040 0.807 0.744
F 0.109 0.543 0.618
F 0.109 0.957 0.118
F 0.176 0.055 0.628
F 0.176 0.445 0.128
F 0.259 0.695 0.019
F 0.259 0.805 0.519
F 0.378 0.042 0.379
F 0.378 0.458 0.879
F 0.393 0.541 0.361
F 0.393 0.959 0.861
F 0.482 0.238 0.763
F 0.482 0.262 0.263
F 0.518 0.738 0.737
F 0.518 0.762 0.237
F 0.607 0.041 0.139
F 0.607 0.459 0.639
F 0.622 0.542 0.121
F 0.622 0.958 0.621
F 0.741 0.195 0.481
F 0.741 0.305 0.981
F 0.824 0.555 0.872
F 0.824 0.945 0.372
F 0.891 0.043 0.882
F 0.891 0.457 0.382
F 0.960 0.193 0.256
F 0.960 0.307 0.756

---

No. 9
DFT (meta-GGA SCAN) results for a crystal of NaSb3Pt relaxed with PBEsol.

Output
Electronic total energy (eV per atom): -35.976
V (Å³/cell): 133
Energy relative to the elements, uncorrected (meV/atom): 1262
Total magnetic moment (μB per formula unit): 0.00
Fermi-level density of states (states/eV/cell): 2.65
Theoretical density (g cm⁻³): 7.299

Lattice parameters (Å, degrees): 5.101 5.101 5.101 90.00 90.00 90.00
Atoms (fractional coordinates):
Na 0.000 0.000 0.000
Sb 0.000 0.000 0.500
Sb 0.000 0.500 0.000
Sb 0.500 0.000 0.000
Pt 0.500 0.500 0.500

---

No. 10
DFT (meta-GGA SCAN) results for a crystal of Ba3NbFe3Si2O14 relaxed with PBEsol.

Output
Electronic total energy (eV per atom): -16.324
V (Å³/cell): 333
Energy relative to the elements, uncorrected (meV/atom): -2697
Total magnetic moment (μB per formula unit): 15.00
Fermi-level density of states (states/eV/cell): 0.00
Theoretical density (g cm⁻³): 4.750

Lattice parameters (Å, degrees): 8.577 8.577 5.227 90.00 90.00 120.00
Atoms (fractional coordinates):
Ba 0.000 0.431 0.000
Ba 0.431 0.000 0.000
Ba 0.569 0.569 0.000
Nb 0.000 0.000 0.000
Fe 0.000 0.746 0.500
Fe 0.254 0.254 0.500
Fe 0.746 0.000 0.500
Si 0.333 0.667 0.524
Si 0.667 0.333 0.476
O 0.104 0.218 0.225
O 0.114 0.896 0.225
O 0.176 0.701 0.651
O 0.218 0.104 0.775
O 0.299 0.475 0.651
O 0.333 0.667 0.216
O 0.475 0.299 0.349
O 0.525 0.824 0.651
O 0.667 0.333 0.784
O 0.701 0.176 0.349
O 0.782 0.886 0.225
O 0.824 0.525 0.349
O 0.886 0.782 0.775
O 0.896 0.114 0.775

---

No. 11
DFT (meta-GGA SCAN) results for a crystal of YBe2Co2 relaxed with PBEsol.

Output
Electronic total energy (eV per atom): -14.302
V (Å³/cell): 63
Total magnetic moment (μB per formula unit): 0.00
Fermi-level density of states (states/eV/cell): 3.21
E_form (eV per formula unit): -0.350
Theoretical density (g cm⁻³): 5.908

Lattice parameters (Å, degrees): 5.220 5.220 5.220 137.91 137.91 61.04
Atoms (fractional coordinates):
Y 0.000 0.000 0.000
Be 0.250 0.750 0.500
Be 0.750 0.250 0.500
Co 0.373 0.373 0.000
Co 0.627 0.627 0.000

---

No. 12
DFT (meta-GGA SCAN) results for a crystal of TaHgTe2I relaxed with PBEsol.

Output
Electronic total energy (eV per atom): -49.079
V (Å³/cell): 160
Energy relative to the elements, uncorrected (meV/atom): 120
Total magnetic moment (μB per formula unit): 0.00
Fermi-level density of states (states/eV/cell): 1.72
Theoretical density (g cm⁻³): 7.938

Lattice parameters (Å, degrees): 5.335 5.335 5.613 90.00 90.00 90.00
Atoms (fractional coordinates):
Ta 0.000 0.000 0.000
Hg 0.500 0.500 0.500
Te 0.000 0.500 0.000
Te 0.500 0.000 0.000
I 0.000 0.000 0.500